Crystalline Nd3Te3H at its relaxed geometry, computed with GGA-PBE.

Unit cell a=7.555 b=7.555 c=7.738 alpha=96.74 beta=96.74 gamma=109.66
Fractional coordinates of all 14 atoms:
Nd: 0.101 0.101 0.331
Nd: 0.150 0.451 0.803
Nd: 0.451 0.150 0.803
Nd: 0.549 0.850 0.197
Nd: 0.850 0.549 0.197
Nd: 0.899 0.899 0.669
Te: 0.158 0.842 0.000
Te: 0.231 0.769 0.500
Te: 0.395 0.395 0.166
Te: 0.605 0.605 0.834
Te: 0.769 0.231 0.500
Te: 0.842 0.158 0.000
H: 0.176 0.176 0.650
H: 0.824 0.824 0.350

Computed properties:
The total energy comes out at -5.017 eV per atom. The symmetry is C2/m.